[1]
The following is a PBE calculation of a relaxed structure of CrAgCl6, from the Alexandria database.

Unit cell a=6.6372 b=6.6372 c=6.5284 alpha=102.47 beta=102.47 gamma=120.88
Fractional positions:
Cr  0.0000  0.0000  0.0000
Ag  0.5000  0.5000  0.5000
Cl  0.0924  0.3815  0.2403
Cl  0.2035  0.2035  0.8010
Cl  0.3815  0.0924  0.2403
Cl  0.6185  0.9076  0.7597
Cl  0.7965  0.7965  0.1990
Cl  0.9076  0.6185  0.7597

Size of the total moment (μB/cell): 2.11
E_form (uncorrected) (eV/atom): -0.632



[2]
The following is a PBE calculation of a relaxed structure of CeSm2Ru, from the Alexandria database.

Unit cell a=7.1517 b=9.8539 c=6.4132 alpha=90.00 beta=90.00 gamma=90.00
Fractional positions:
Ce  0.0528  0.2500  0.1570
Ce  0.4472  0.7500  0.6570
Ce  0.5528  0.2500  0.3430
Ce  0.9472  0.7500  0.8430
Sm  0.1723  0.0656  0.6724
Sm  0.1723  0.4344  0.6724
Sm  0.3277  0.5656  0.1724
Sm  0.3277  0.9344  0.1724
Sm  0.6723  0.0656  0.8276
Sm  0.6723  0.4344  0.8276
Sm  0.8277  0.5656  0.3276
Sm  0.8277  0.9344  0.3276
Ru  0.1365  0.7500  0.4950
Ru  0.3635  0.2500  0.9950
Ru  0.6365  0.7500  0.0050
Ru  0.8635  0.2500  0.5050

Energy relative to the lowest polymorph listed for this composition (eV per atom): 0.000
Formation enthalpy at 0 K (kcal/mol of atoms): -6.2
Size of the total moment (μB/cell): 1.53



> Which value of size of the total moment does entry 1 give?

2.11 μB/cell



> What is the size of the total moment in the second record?

1.53 μB/cell



> Among the records above, which one has the highest size of the total moment?

CrAgCl6



> The lowest size of the total moment belongs to which entry?

CeSm2Ru